Record 1
DFT (GGA-PBE) results for SrMg2InPd after structural relaxation.

Cell and atoms, written as POSCAR:
```
SrMg2InPd
1.0
5.093 0.000 0.000
0.000 5.093 0.000
0.000 0.000 5.240
Sr Mg In Pd
1 2 1 1
Direct
0.000 0.000 0.000
0.000 0.500 0.500
0.500 0.000 0.500
0.500 0.500 0.000
0.500 0.500 0.500
```

Summary:
Theoretical density ... 4.4 g cm⁻³
Crystal system ... tetragonal
E ... -0.107 hartree per atom
Magnetization ... 0.00 μB per formula unit
Symmetry ... P4/mmm, No. 123

Record 2
DFT (GGA-PBE) results for SrMgInPd3 after structural relaxation.

Cell and atoms, written as POSCAR:
```
SrMgInPd3
1.0
3.147 -6.518 0.000
3.147 6.518 0.000
0.000 0.000 6.383
Sr Mg In Pd
2 2 2 6
Direct
0.183 0.817 0.750
0.817 0.183 0.250
0.429 0.571 0.750
0.571 0.429 0.250
0.145 0.855 0.250
0.855 0.145 0.750
0.219 0.219 0.000
0.219 0.219 0.500
0.356 0.644 0.250
0.644 0.356 0.750
0.781 0.781 0.000
0.781 0.781 0.500
```

Summary:
Theoretical density ... 6.9 g cm⁻³
Crystal system ... orthorhombic
E ... -0.148 hartree per atom
Magnetization ... 0.00 μB per formula unit
Symmetry ... Cmcm, No. 63

Record 3
DFT (GGA-PBE) results for ThMgInPd after structural relaxation.

Cell and atoms, written as POSCAR:
```
ThMgInPd
1.0
0.000 3.599 3.599
3.599 0.000 3.599
3.599 3.599 0.000
Th Mg In Pd
1 1 1 1
Direct
0.000 0.000 0.000
0.500 0.500 0.500
0.750 0.750 0.750
0.250 0.250 0.250
```

Summary:
Theoretical density ... 8.5 g cm⁻³
Crystal system ... cubic
E ... -0.171 hartree per atom
Magnetization ... 0.00 μB per formula unit
Symmetry ... F-43m, No. 216

Formation enthalpy at 0 K
In order: -350 -433 -425
Unit: meV per atom
V
In order: 135.9 261.8 93.3
Unit: Å³/cell